No. 1
Computed, not measured: an optimized crystal structure of Li2PRh3 at the PBE-GGA level of DFT.

## Properties
DOS(E_F): 0.903 states/eV per atom
SG: R-3m

Cell: 4.6760 4.6760 4.6760 Å, 70.17 70.17 70.17°
Atoms (fractional coordinates):
Li (0.3799, 0.3799, 0.3799)
Rh (0.5000, 0.0000, 0.0000)
Rh (0.0000, 0.5000, 0.0000)
P (0.0000, 0.0000, 0.0000)
Rh (0.0000, 0.0000, 0.5000)
Li (0.6201, 0.6201, 0.6201)

No. 2
Computed, not measured: an optimized crystal structure of BaTcPt2 at the PBE-GGA level of DFT.

## Properties
DOS(E_F): 0.791 states/eV per atom
SG: I-4m2

Cell: 5.4094 5.4094 5.4094 Å, 132.78 132.78 68.99°
Last column: magnetic moment on the atom in μB.
Atoms (fractional coordinates):
Ba (0.7500, 0.2500, 0.5000)  0.03
Pt (0.0000, 0.0000, 0.0000)  0.13
Pt (0.2500, 0.7500, 0.5000)  0.22
Tc (0.5000, 0.5000, 0.0000)  2.51

No. 3
Computed, not measured: an optimized crystal structure of CdBiSb at the PBE-GGA level of DFT.

## Properties
DOS(E_F): 0.322 states/eV per atom
SG: P1
Formation energy from raw total energies: 58 meV/atom

Cell: 4.7185 6.5877 6.7306 Å, 99.97 107.25 102.36°
Atoms (fractional coordinates):
Cd (0.0354, 0.1345, 0.7866)
Sb (0.8632, 0.8055, 0.0828)
Bi (0.4301, 0.4571, 0.4824)
Cd (0.1812, 0.6607, 0.8082)
Bi (0.7884, 0.3453, 0.1106)
Sb (0.3550, 0.9976, 0.5111)

No. 4
Computed, not measured: an optimized crystal structure of Dy3Sb2Te2 at the PBE-GGA level of DFT.

## Properties
DOS(E_F): 0.562 states/eV per atom
SG: C2/m
Formation energy from raw total energies: -1046 meV/atom

Cell: 4.3089 7.6123 8.6185 Å, 117.31 104.48 90.00°
Atoms (fractional coordinates):
Te (0.1234, 0.2977, 0.2468)
Dy (0.0000, 0.5000, 0.0000)
Dy (0.7389, 0.2459, 0.4779)
Sb (0.6298, 0.7841, 0.2595)
Te (0.8766, 0.7023, 0.7532)
Sb (0.3702, 0.2159, 0.7405)
Dy (0.2611, 0.7541, 0.5221)

No. 5
Computed, not measured: an optimized crystal structure of K2Tb2ZrSe6 at the PBE-GGA level of DFT.

## Properties
SG: C2/m
Formation energy from raw total energies: -1649 meV/atom

Cell: 7.0683 7.0683 8.2273 Å, 98.51 98.51 119.60°
Atoms (fractional coordinates):
Se (0.2486, 0.2486, 0.3012)
Se (0.6136, 0.9306, 0.2997)
K (0.8301, 0.1699, 0.0000)
Tb (0.3331, 0.6669, 0.5000)
Tb (0.6669, 0.3331, 0.5000)
Se (0.9306, 0.6136, 0.2997)
Se (0.7514, 0.7514, 0.6988)
Se (0.3864, 0.0694, 0.7003)
Se (0.0694, 0.3864, 0.7003)
Zr (0.0000, 0.0000, 0.5000)
K (0.1699, 0.8301, 0.0000)

No. 6
Computed, not measured: an optimized crystal structure of BeNbCo3 at the PBE-GGA level of DFT.

## Properties
DOS(E_F): 0.014 states/eV per atom
SG: Pm-3m

Cell: 3.8601 3.8601 3.8601 Å, 90.00 90.00 90.00°
Atoms (fractional coordinates):
Co (0.0000, 0.5000, 0.0000)
Co (0.5000, 0.0000, 0.0000)
Be (0.0000, 0.0000, 0.0000)
Co (0.0000, 0.0000, 0.5000)
Nb (0.5000, 0.5000, 0.5000)

Number 1: DFT total energy -33.77 eV for the cell shown. Number 2: DFT total energy -22.27 eV for the cell shown. Number 3: DFT total energy -17.49 eV for the cell shown. Number 4: DFT total energy -35.66 eV for the cell shown. Number 5: DFT total energy -59.05 eV for the cell shown. Number 6: DFT total energy -34.56 eV for the cell shown.